--- P ---
Na2TaOs: relaxed, GGA-PBE.

Cell: 4.655 4.655 4.655 Å, 60.00 60.00 60.00°
Fractional positions:
1 Na 0.250 0.250 0.250
2 Na 0.750 0.750 0.750
3 Ta 0.000 0.000 0.000
4 Os 0.500 0.500 0.500

Output
Magnetic moment, μB per atom: 0.00
Symmetry: Fm-3m (225)
Theoretical density, g cm⁻³: 9.71

---

--- Q ---
Na2TaOs: relaxed, GGA-PBE.

Cell: 8.618 8.618 6.563 Å, 48.96 48.96 90.00°
Fractional positions:
1 Os 0.000 0.000 0.000
2 Os 0.750 0.250 0.500
3 Ta 0.250 0.750 0.500
4 Ta 0.500 0.500 0.000
5 Na 0.375 0.334 0.750
6 Na 0.666 0.125 0.250
7 Na 0.875 0.916 0.750
8 Na 0.084 0.625 0.250

Output
Magnetic moment, μB per atom: 0.00
Symmetry: I-42d (122)
Theoretical density, g cm⁻³: 7.65

---

Energies relative to the minimum, meV per atom: P 242; Q 0